Rb3SrU2O9 | PBE | optimized geometry

a b c (Å): 6.310 6.310 7.737
angles (deg): 90.00 90.00 120.00
Each line ends with the local moment (μB).
Positions (direct):
Rb: 0.333 0.667 0.660  0.00
Rb: 0.000 0.000 0.000  0.00
Rb: 0.667 0.333 0.340  0.00
Sr: 0.000 0.000 0.500  0.00
U: 0.333 0.667 0.158  0.00
U: 0.667 0.333 0.842  0.00
O: 0.817 0.183 0.693  0.11
O: 0.817 0.634 0.693  0.11
O: 0.366 0.183 0.693  0.11
O: 0.634 0.817 0.307  0.11
O: 0.183 0.366 0.307  0.11
O: 0.183 0.817 0.307  0.11
O: 0.500 0.000 0.000  0.06
O: 0.000 0.500 0.000  0.06
O: 0.500 0.500 0.000  0.06

Computed properties:
E = -7.41 eV/atom